[1]
VASP calculation (GGA-PBE) on a geometry-optimized La2ScZn structure.

Unit cell a=5.551 b=5.551 c=3.677 alpha=90.00 beta=90.00 gamma=90.00
Space group P4/mmm (No. 123)
Asymmetric unit:
La 0.000 0.500 0.000
Sc 0.000 0.000 0.500
Zn 0.500 0.500 0.500

Values from the calculation:
energy of formation	-0.32	eV per formula unit



[2]
VASP calculation (GGA-PBE) on a geometry-optimized La2ZrSc structure.

Unit cell a=3.907 b=3.907 c=7.891 alpha=90.00 beta=90.00 gamma=90.00
Space group P4mm (No. 99)
Asymmetric unit:
La 0.000 0.000 0.000
La 0.500 0.500 0.316
Zr 0.500 0.500 0.743
Sc 0.000 0.000 0.574

Values from the calculation:
energy above the lowest structure with this stoichiometry	1.177	kcal/mol of atoms
energy of formation	0.58	eV per formula unit